<1>
The following is a GGA-PBE calculation of a relaxed structure of TeRhS, from Alexandria via LeMat-Bulk.

space group = No. 198

a = 6.1614 Å, b = 6.1614 Å, c = 6.1614 Å
α = 90.00°, β = 90.00°, γ = 90.00°
With the nearest neighbours (Å) after each atom.
Sites, in units of the cell vectors:
Te: 0.1281 0.3719 0.6281  1 S 2.59, 3 Rh 2.63
Te: 0.3719 0.6281 0.1281  1 S 2.59, 3 Rh 2.63
Te: 0.6281 0.1281 0.3719  1 S 2.59, 3 Rh 2.63
Te: 0.8719 0.8719 0.8719  1 S 2.59, 3 Rh 2.63
Rh: 0.0146 0.9854 0.4854  3 S 2.50, 3 Te 2.63
Rh: 0.4854 0.0146 0.9854  3 S 2.50, 3 Te 2.63
Rh: 0.5146 0.5146 0.5146  3 S 2.50, 3 Te 2.63
Rh: 0.9854 0.4854 0.0146  3 S 2.50, 3 Te 2.63
S: 0.1143 0.1143 0.1143  3 Rh 2.50, 1 Te 2.59
S: 0.3857 0.8857 0.6143  3 Rh 2.50, 1 Te 2.59
S: 0.6143 0.3857 0.8857  3 Rh 2.50, 1 Te 2.59
S: 0.8857 0.6143 0.3857  3 Rh 2.50, 1 Te 2.59

=====

<2>
The following is a GGA-PBE calculation of a relaxed structure of TeRhS, from Alexandria via LeMat-Bulk.

space group = No. 156

a = 3.7237 Å, b = 3.7237 Å, c = 5.1197 Å
α = 90.00°, β = 90.00°, γ = 120.00°
With the nearest neighbours (Å) after each atom.
Sites, in units of the cell vectors:
Te: 0.0000 0.0000 0.0000  3 Rh 2.64
Rh: 0.6667 0.3333 0.7002  3 S 2.43, 3 Te 2.64
S: 0.3333 0.6667 0.4807  3 Rh 2.43

=====

<3>
The following is a GGA-PBE calculation of a relaxed structure of TeRhS, from Alexandria via LeMat-Bulk.

space group = No. 14

a = 6.4919 Å, b = 6.0757 Å, c = 6.4250 Å
α = 90.00°, β = 105.83°, γ = 90.00°
With the nearest neighbours (Å) after each atom.
Sites, in units of the cell vectors:
Te: 0.1475 0.1226 0.3471  3 Rh 2.64-2.69, 1 S 2.68
Te: 0.1475 0.3774 0.8471  3 Rh 2.64-2.69, 1 S 2.68
Te: 0.8525 0.6226 0.1529  3 Rh 2.64-2.69, 1 S 2.68
Te: 0.8525 0.8774 0.6529  3 Rh 2.64-2.69, 1 S 2.68
Rh: 0.2698 0.5163 0.2555  3 S 2.44-2.45, 3 Te 2.64-2.69
Rh: 0.2698 0.9837 0.7555  3 S 2.44-2.45, 3 Te 2.64-2.69
Rh: 0.7302 0.0163 0.2445  3 S 2.44-2.45, 3 Te 2.64-2.69
Rh: 0.7302 0.4837 0.7445  3 S 2.44-2.45, 3 Te 2.64-2.69
S: 0.3658 0.6271 0.6359  3 Rh 2.44-2.45, 1 Te 2.68
S: 0.3658 0.8729 0.1359  3 Rh 2.44-2.45, 1 Te 2.68
S: 0.6342 0.1271 0.8641  3 Rh 2.44-2.45, 1 Te 2.68
S: 0.6342 0.3729 0.3641  3 Rh 2.44-2.45, 1 Te 2.68

=====

Q: Which of them is the least stable? A: <2>.